# 1
Density functional theory data (GGA-PBE) for crystalline Sc3TiS6 at its relaxed geometry.

The value obtained for the total energy is -6.85 eV/atom. The formation energy without anion corrections comes out at -1.686 eV per atom. As for the volume: 1257 Å³ per cell. The calculation puts the density of states at the Fermi level at 33.23 states/eV per cell.

The structure belongs to space group R-3 (No. 148, hexagonal axes); the cell edges are 10.6495, 10.6495 and 12.8011 Å and the angles 90.00°, 90.00° and 120.00°. The distinct sites, in fractional coordinates, are Sc at (0.0561, 0.2743, 0.1999), Ti at (0.0000, 0.0000, 0.0000), Ti at (0.0000, 0.0000, 0.5000), S at (0.0173, 0.2043, 0.3949) and S at (0.0317, 0.1936, 0.8811).

# 2
Density functional theory data (GGA-PBE) for crystalline LaFe2P2 at its relaxed geometry.

The value obtained for the total energy is -7.52 eV/atom. The energy of formation from the pure elements comes out at -4.95 eV/f.u. As for the volume: 159 Å³ per cell. The calculation puts the density of states at the Fermi level at 9.44 states/eV per cell.

The structure belongs to space group I4/mmm (No. 139); the cell edges are 3.8164, 3.8164 and 10.9062 Å and the angles 90.00°, 90.00° and 90.00°. The distinct sites, in fractional coordinates, are La at (0.0000, 0.0000, 0.0000), Fe at (0.0000, 0.5000, 0.2500) and P at (0.0000, 0.0000, 0.3506).

# 3
Density functional theory data (GGA-PBE) for crystalline ZnPPt at its relaxed geometry.

The value obtained for the total energy is -4.53 eV/atom. The polymorph energy (0 for the lowest one) comes out at 0.11 eV per formula unit. The energy of formation from the pure elements comes out at -0.86 eV/f.u. As for the volume: 202 Å³ per cell. The calculation puts the density of states at the Fermi level at 5.06 states/eV per cell.

The structure belongs to space group F-43m (No. 216); the cell edges are 5.8654, 5.8654 and 5.8654 Å and the angles 90.00°, 90.00° and 90.00°. The distinct sites, in fractional coordinates, are Zn at (0.0000, 0.0000, 0.0000), P at (0.0000, 0.0000, 0.5000) and Pt at (0.2500, 0.2500, 0.7500).